(1)
# CdAsPd3, optimized geometry, DFT PBE
data_CdAsPd3
_space_group_name_H-M_alt 'P 1'
_space_group_IT_number 1
_cell_length_a 4.915
_cell_length_b 5.682
_cell_length_c 6.672
_cell_angle_alpha 97.49
_cell_angle_beta 107.70
_cell_angle_gamma 102.24
loop_
_space_group_symop_operation_xyz
'x,y,z'
loop_
_atom_site_label
_atom_site_fract_x
_atom_site_fract_y
_atom_site_fract_z
Cd1 0.039 0.363 0.192
Cd2 0.961 0.637 0.808
As1 0.372 0.159 0.656
As2 0.628 0.841 0.344
Pd1 0.080 0.881 0.239
Pd2 0.391 0.678 0.601
Pd3 0.500 0.000 0.000
Pd4 0.500 0.500 0.000
Pd5 0.609 0.322 0.399
Pd6 0.920 0.119 0.761
# Energy above the most stable polymorph in this dataset in eV/atom: 0.000
# ΔE_f in eV per atom: -0.322
# Raw total energy in eV/atom: -4.551

=====

(2)
# RbIn2Ag2, optimized geometry, DFT PBE
data_RbIn2Ag2
_space_group_name_H-M_alt 'P 1'
_space_group_IT_number 1
_cell_length_a 6.544
_cell_length_b 6.544
_cell_length_c 6.544
_cell_angle_alpha 133.06
_cell_angle_beta 133.06
_cell_angle_gamma 68.56
loop_
_space_group_symop_operation_xyz
'x,y,z'
loop_
_atom_site_label
_atom_site_fract_x
_atom_site_fract_y
_atom_site_fract_z
Rb1 0.000 0.000 0.000
In1 0.357 0.357 0.000
In2 0.643 0.643 0.000
Ag1 0.250 0.750 0.500
Ag2 0.750 0.250 0.500
# Energy above the most stable polymorph in this dataset in eV/atom: 0.000
# ΔE_f in eV per atom: -0.039
# Raw total energy in eV/atom: -2.468

=====

(3)
# Cr2ReP2, optimized geometry, DFT PBE
data_Cr2ReP2
_space_group_name_H-M_alt 'P 1'
_space_group_IT_number 1
_cell_length_a 6.494
_cell_length_b 6.494
_cell_length_c 2.914
_cell_angle_alpha 90.00
_cell_angle_beta 90.00
_cell_angle_gamma 90.00
loop_
_space_group_symop_operation_xyz
'x,y,z'
loop_
_atom_site_label
_atom_site_fract_x
_atom_site_fract_y
_atom_site_fract_z
Cr1 0.143 0.357 0.000
Cr2 0.357 0.857 0.000
Cr3 0.643 0.143 0.000
Cr4 0.857 0.643 0.000
Re1 0.000 0.000 0.500
Re2 0.500 0.500 0.500
P1 0.152 0.652 0.500
P2 0.348 0.152 0.500
P3 0.652 0.848 0.500
P4 0.848 0.348 0.500
# ΔE_f in eV per atom: -0.180
# Raw total energy in eV/atom: -8.683

=====

(4)
# TbNd5Ho12, optimized geometry, DFT PBE
data_TbNd5Ho12
_space_group_name_H-M_alt 'P 1'
_space_group_IT_number 1
_cell_length_a 10.427
_cell_length_b 10.427
_cell_length_c 5.741
_cell_angle_alpha 90.01
_cell_angle_beta 90.01
_cell_angle_gamma 111.54
loop_
_space_group_symop_operation_xyz
'x,y,z'
loop_
_atom_site_label
_atom_site_fract_x
_atom_site_fract_y
_atom_site_fract_z
Tb1 0.000 0.000 0.000
Nd1 0.138 0.862 0.500
Nd2 0.360 0.640 0.000
Nd3 0.500 0.500 0.500
Nd4 0.640 0.360 0.000
Nd5 0.862 0.138 0.500
Ho1 0.022 0.666 0.999
Ho2 0.166 0.524 0.501
Ho3 0.198 0.198 0.497
Ho4 0.300 0.300 0.997
Ho5 0.334 0.978 0.001
Ho6 0.476 0.834 0.499
Ho7 0.524 0.166 0.501
Ho8 0.666 0.022 0.999
Ho9 0.700 0.700 0.003
Ho10 0.802 0.802 0.503
Ho11 0.834 0.476 0.499
Ho12 0.978 0.334 0.001
# ΔE_f in eV per atom: 0.091
# Raw total energy in eV/atom: -4.542

=====

(5)
# ZnInAg2, optimized geometry, DFT PBE
data_ZnInAg2
_space_group_name_H-M_alt 'P 1'
_space_group_IT_number 1
_cell_length_a 9.231
_cell_length_b 9.231
_cell_length_c 9.231
_cell_angle_alpha 19.55
_cell_angle_beta 19.55
_cell_angle_gamma 19.55
loop_
_space_group_symop_operation_xyz
'x,y,z'
loop_
_atom_site_label
_atom_site_fract_x
_atom_site_fract_y
_atom_site_fract_z
Zn1 0.000 0.000 0.000
In1 0.249 0.249 0.249
Ag1 0.493 0.493 0.493
Ag2 0.742 0.742 0.742
# ΔE_f in eV per atom: 0.050
# Raw total energy in eV/atom: -2.379

=====

(6)
# CsBa2Br4, optimized geometry, DFT PBE
data_CsBa2Br4
_space_group_name_H-M_alt 'P 1'
_space_group_IT_number 1
_cell_length_a 9.066
_cell_length_b 9.096
_cell_length_c 10.300
_cell_angle_alpha 114.44
_cell_angle_beta 114.24
_cell_angle_gamma 93.73
loop_
_space_group_symop_operation_xyz
'x,y,z'
loop_
_atom_site_label
_atom_site_fract_x
_atom_site_fract_y
_atom_site_fract_z
Cs1 0.125 0.375 0.250
Cs2 0.875 0.625 0.750
Ba1 0.000 0.000 0.500
Ba2 0.500 0.000 0.000
Ba3 0.500 0.000 0.500
Ba4 0.500 0.500 0.000
Br1 0.198 0.188 0.906
Br2 0.282 0.792 0.595
Br3 0.292 0.782 0.094
Br4 0.312 0.303 0.595
Br5 0.688 0.697 0.405
Br6 0.708 0.218 0.906
Br7 0.718 0.208 0.405
Br8 0.802 0.812 0.094
# Raw total energy in eV/atom: -3.468

=====

(7)
# Ac4Si2Au5, optimized geometry, DFT PBE
data_Ac4Si2Au5
_space_group_name_H-M_alt 'P 1'
_space_group_IT_number 1
_cell_length_a 7.832
_cell_length_b 4.242
_cell_length_c 8.950
_cell_angle_alpha 90.00
_cell_angle_beta 93.33
_cell_angle_gamma 90.00
loop_
_space_group_symop_operation_xyz
'x,y,z'
loop_
_atom_site_label
_atom_site_fract_x
_atom_site_fract_y
_atom_site_fract_z
Ac1 0.226 0.000 0.136
Ac2 0.261 0.000 0.629
Ac3 0.739 0.000 0.371
Ac4 0.774 0.000 0.864
Si1 0.062 0.500 0.384
Si2 0.938 0.500 0.616
Au1 0.116 0.500 0.872
Au2 0.395 0.500 0.367
Au3 0.500 0.500 0.000
Au4 0.605 0.500 0.633
Au5 0.884 0.500 0.128
# Raw total energy in eV/atom: -4.702

=====

(8)
# HoMgPaAl, optimized geometry, DFT PBE
data_HoMgPaAl
_space_group_name_H-M_alt 'P 1'
_space_group_IT_number 1
_cell_length_a 5.147
_cell_length_b 5.147
_cell_length_c 5.147
_cell_angle_alpha 60.00
_cell_angle_beta 60.00
_cell_angle_gamma 60.00
loop_
_space_group_symop_operation_xyz
'x,y,z'
loop_
_atom_site_label
_atom_site_fract_x
_atom_site_fract_y
_atom_site_fract_z
Ho1 0.000 0.000 0.000
Mg1 0.250 0.250 0.250
Pa1 0.500 0.500 0.500
Al1 0.750 0.750 0.750
# ΔE_f in eV per atom: 0.056
# Raw total energy in eV/atom: -4.796

=====

(9)
# Pr2NdSn, optimized geometry, DFT PBE
data_Pr2NdSn
_space_group_name_H-M_alt 'P 1'
_space_group_IT_number 1
_cell_length_a 11.512
_cell_length_b 11.512
_cell_length_c 11.512
_cell_angle_alpha 18.48
_cell_angle_beta 18.48
_cell_angle_gamma 18.48
loop_
_space_group_symop_operation_xyz
'x,y,z'
loop_
_atom_site_label
_atom_site_fract_x
_atom_site_fract_y
_atom_site_fract_z
Pr1 0.000 0.000 0.000
Pr2 0.178 0.178 0.178
Nd1 0.756 0.756 0.756
Sn1 0.590 0.590 0.590
# Energy above the most stable polymorph in this dataset in eV/atom: 0.257
# ΔE_f in eV per atom: -0.195
# Raw total energy in eV/atom: -4.777

=====

(10)
# BaMgSc2, optimized geometry, DFT PBE
data_BaMgSc2
_space_group_name_H-M_alt 'P 1'
_space_group_IT_number 1
_cell_length_a 5.861
_cell_length_b 5.861
_cell_length_c 6.427
_cell_angle_alpha 98.62
_cell_angle_beta 98.62
_cell_angle_gamma 34.52
loop_
_space_group_symop_operation_xyz
'x,y,z'
loop_
_atom_site_label
_atom_site_fract_x
_atom_site_fract_y
_atom_site_fract_z
Ba1 0.000 0.000 0.000
Mg1 0.245 0.245 0.715
Sc1 0.503 0.503 0.493
Sc2 0.769 0.769 0.316
# ΔE_f in eV per atom: 0.272
# Raw total energy in eV/atom: -3.773

=====

(11)
# Ba2SbPtW, optimized geometry, DFT PBE
data_Ba2SbPtW
_space_group_name_H-M_alt 'P 1'
_space_group_IT_number 1
_cell_length_a 5.913
_cell_length_b 5.913
_cell_length_c 5.086
_cell_angle_alpha 90.00
_cell_angle_beta 90.00
_cell_angle_gamma 90.00
loop_
_space_group_symop_operation_xyz
'x,y,z'
loop_
_atom_site_label
_atom_site_fract_x
_atom_site_fract_y
_atom_site_fract_z
Ba1 0.000 0.500 0.000
Ba2 0.500 0.000 0.000
Sb1 0.000 0.000 0.500
Pt1 0.500 0.500 0.500
W1 0.000 0.000 0.000
# Raw total energy in eV/atom: -4.766

=====

(12)
# Li2MgTa, optimized geometry, DFT PBE
data_Li2MgTa
_space_group_name_H-M_alt 'P 1'
_space_group_IT_number 1
_cell_length_a 2.802
_cell_length_b 2.802
_cell_length_c 10.333
_cell_angle_alpha 90.00
_cell_angle_beta 90.00
_cell_angle_gamma 113.94
loop_
_space_group_symop_operation_xyz
'x,y,z'
loop_
_atom_site_label
_atom_site_fract_x
_atom_site_fract_y
_atom_site_fract_z
Li1 0.000 0.000 0.246
Li2 0.000 0.000 0.754
Mg1 0.500 0.500 0.500
Ta1 0.500 0.500 0.000
# ΔE_f in eV per atom: 0.222
# Raw total energy in eV/atom: -4.097